Record 1
DFT (PBE) results for a relaxed structure of Mg2AsPb.

Cell: 7.8905 7.8905 6.4342 Å, 90.00 90.00 90.00°
Last column: nearest neighbours and their distance in Å.
Space group I-42d (No. 122)
Symmetry-distinct sites (fractional):
Mg: 0.1933 0.7500 0.1250 x8  2 As 2.62
As: 0.0000 0.0000 0.0000 x4  4 Mg 2.62
Pb: 0.0000 0.0000 0.5000 x4  2 As 3.22, 8 Mg 3.22-3.47

Properties
Theoretical density: 5.48 g cm⁻³
Total moment: 0.000 μB per formula unit
ΔE to the lowest computed polymorph: 0.32 eV per formula unit
ΔH_f (0 K): -0.14 eV per atom



Record 2
DFT (PBE) results for a relaxed structure of BiIr3O.

Cell: 4.3219 4.3219 4.3219 Å, 90.00 90.00 90.00°
Last column: nearest neighbours and their distance in Å.
Space group Pm-3m (No. 221)
Symmetry-distinct sites (fractional):
Bi: 0.0000 0.0000 0.0000 x1  12 Ir 3.06
Ir: 0.0000 0.5000 0.5000 x3  2 O 2.16
O: 0.5000 0.5000 0.5000 x1  6 Ir 2.16

Properties
Formation energy from raw total energies: 0.84 eV per atom
Theoretical density: 16.49 g cm⁻³
Total moment: 0.001 μB per formula unit
ΔE to the lowest computed polymorph: 0.00 eV per formula unit



Record 3
DFT (PBE) results for a relaxed structure of CaIn6Pb.

Cell: 7.0725 7.0725 4.4264 Å, 90.00 90.00 90.00°
Last column: nearest neighbours and their distance in Å.
Space group P4/mmm (No. 123)
Symmetry-distinct sites (fractional):
Ca: 0.0000 0.0000 0.0000 x1  12 In 3.35-3.54
In: 0.0000 0.5000 0.0000 x2  8 In 3.34, 2 Pb 3.54, 2 Ca 3.54
In: 0.2519 0.2519 0.5000 x4  2 Pb 3.33, 8 In 3.34-3.56, 2 Ca 3.35
Pb: 0.5000 0.5000 0.0000 x1  12 In 3.33-3.54

Properties
Theoretical density: 7.02 g cm⁻³
Total moment: 0.000 μB per formula unit
ΔH_f (0 K): -0.14 eV per atom



Record 4
DFT (PBE) results for a relaxed structure of Sb2TeAu.

Cell: 3.8725 5.4478 9.7821 Å, 90.00 90.00 90.00°
Last column: nearest neighbours and their distance in Å.
Space group Cmm2 (No. 35)
Symmetry-distinct sites (fractional):
Sb: 0.0000 0.0000 0.0000 x2  2 Au 2.85
Sb: 0.0000 0.5000 0.2696 x2  6 Sb 3.27-3.34, 2 Te 3.48
Te: 0.0000 0.0000 0.5650 x2  2 Au 2.91
Au: 0.0000 0.5000 0.7868 x2  2 Sb 2.85, 2 Te 2.91

Properties
Formation energy from raw total energies: 0.22 eV per atom
Theoretical density: 9.14 g cm⁻³
Total moment: 0.000 μB per formula unit



Record 5
DFT (PBE) results for a relaxed structure of CdFe4Pd15.

Cell: 3.9343 3.9343 19.4531 Å, 90.00 90.00 90.00°
Last column: nearest neighbours and their distance in Å.
Space group P4/mmm (No. 123)
Symmetry-distinct sites (fractional):
Cd: 0.0000 0.0000 0.0000 x1  12 Pd 2.78-2.88
Fe: 0.0000 0.0000 0.2029 x2  12 Pd 2.70-2.78
Fe: 0.0000 0.0000 0.4008 x2  12 Pd 2.73-2.78
Pd: 0.0000 0.5000 0.1082 x4  2 Fe 2.70, 8 Pd 2.74-2.88, 2 Cd 2.88
Pd: 0.0000 0.5000 0.3039 x4  4 Fe 2.73-2.78, 8 Pd 2.74-2.78
Pd: 0.0000 0.5000 0.5000 x2  8 Pd 2.74-2.78, 4 Fe 2.76
Pd: 0.5000 0.5000 0.0000 x1  4 Cd 2.78, 8 Pd 2.88
Pd: 0.5000 0.5000 0.2061 x2  8 Pd 2.74, 4 Fe 2.78
Pd: 0.5000 0.5000 0.4018 x2  8 Pd 2.74, 4 Fe 2.78

Properties
Theoretical density: 10.66 g cm⁻³
Total moment: 0.055 μB per formula unit
ΔH_f (0 K): -0.12 eV per atom



Record 6
DFT (PBE) results for a relaxed structure of Pm2GeBi.

Cell: 4.5452 24.0132 4.3133 Å, 90.00 90.00 90.00°
Last column: nearest neighbours and their distance in Å.
Space group Cmcm (No. 63)
Symmetry-distinct sites (fractional):
Pm: 0.0000 0.0598 0.2500 x4  1 Bi 3.14, 6 Ge 3.17-3.32
Pm: 0.0000 0.3251 0.2500 x4  5 Bi 3.16-3.23, 1 Ge 3.22
Ge: 0.0000 0.4593 0.2500 x4  2 Ge 2.91, 5 Pm 3.17-3.22
Bi: 0.0000 0.1904 0.2500 x4  6 Pm 3.14-3.23

Properties
Theoretical density: 8.06 g cm⁻³
Total moment: 0.000 μB per formula unit
ΔE to the lowest computed polymorph: 0.00 eV per formula unit
ΔH_f (0 K): -0.82 eV per atom



> What is the theoretical density in the second record?

16.49 g cm⁻³